Record 1
Entry from Alexandria via LeMat-Bulk: a relaxed structure of Co3AuS (PBE-GGA).

Unit cell a=4.708 b=4.708 c=4.708 alpha=90.00 beta=90.00 gamma=90.00
Space group Pm-3m (No. 221)
Unique sites:
Co 0.000 0.000 0.500 x3
Au 0.000 0.000 0.000 x1
S 0.500 0.500 0.500 x1

Excess energy over the best structure of this formula in the dataset (eV/f.u.): 6.78
V (Å³/cell): 104
Theoretical density (Mg/m³): 6.456
Formation energy from raw total energies (meV/atom): 1561

***

Record 2
Entry from Alexandria via LeMat-Bulk: a relaxed structure of PrY4Tm2 (PBE-GGA).

Unit cell a=16.660 b=3.549 c=8.759 alpha=90.00 beta=119.14 gamma=90.00
Space group C2/m (No. 12)
Unique sites:
Pr 0.000 0.000 0.000 x2
Y 0.140 0.500 0.829 x4
Y 0.205 0.500 0.294 x4
Tm 0.071 0.000 0.431 x4

Excess energy over the best structure of this formula in the dataset (eV/f.u.): 0.00
Formation enthalpy at 0 K (kJ/mol of formula units): 18
V (Å³/cell): 452
Theoretical density (Mg/m³): 6.127

***

Record 3
Entry from Alexandria via LeMat-Bulk: a relaxed structure of CeHoZn2 (PBE-GGA).

Unit cell a=3.4567 b=3.4567 c=28.1784 alpha=90.00 beta=90.00 gamma=120.00
Space group R-3m (No. 166, hexagonal axes)
Unique sites:
Ce 0.0000 0.0000 0.0000 x3
Ho 0.0000 0.0000 0.5000 x3
Zn 0.0000 0.0000 0.2471 x6

Formation enthalpy at 0 K (kJ/mol of formula units): -21
V (Å³/cell): 292
Theoretical density (Mg/m³): 7.446

***

Record 4
Entry from Alexandria via LeMat-Bulk: a relaxed structure of CaTlAgCl6 (PBE-GGA).

Unit cell a=6.8461 b=6.8461 c=12.1499 alpha=90.00 beta=90.00 gamma=120.00
Space group P-31c (No. 163)
Unique sites:
Ca 0.3333 0.6667 0.2500 x2
Tl 0.3333 0.6667 0.7500 x2
Ag 0.0000 0.0000 0.0000 x2
Cl 0.0123 0.3483 0.6265 x12

V (Å³/cell): 493
Theoretical density (Mg/m³): 3.805
Formation energy from raw total energies (meV/atom): -1176

***

Record 5
Entry from Alexandria via LeMat-Bulk: a relaxed structure of LiYHf (PBE-GGA).

Unit cell a=4.0856 b=4.0856 c=11.3497 alpha=90.00 beta=90.00 gamma=120.00
Space group P6_3/mmc (No. 194)
Unique sites:
Li 0.3333 0.6667 0.2500 x2
Y 0.0000 0.0000 0.2500 x2
Hf 0.0000 0.0000 0.0000 x2

Excess energy over the best structure of this formula in the dataset (eV/f.u.): 5.14
Formation enthalpy at 0 K (kJ/mol of formula units): 525
V (Å³/cell): 164
Theoretical density (Mg/m³): 5.553

***

Record 6
Entry from Alexandria via LeMat-Bulk: a relaxed structure of LiSiPd6 (PBE-GGA).

Unit cell a=4.502 b=5.012 c=6.160 alpha=109.77 beta=111.39 gamma=90.10
Space group P-1 (No. 2)
Unique sites:
Li 0.000 0.000 0.000 x1
Si 0.500 0.500 0.000 x1
Pd 0.123 0.548 0.245 x2
Pd 0.266 0.175 0.533 x2
Pd 0.381 0.789 0.762 x2

V (Å³/cell): 121
Theoretical density (Mg/m³): 9.277
Formation energy from raw total energies (meV/atom): -353

***

Record 7
Entry from Alexandria via LeMat-Bulk: a relaxed structure of LiLaRe2 (PBE-GGA).

Unit cell a=8.183 b=3.327 c=6.099 alpha=90.00 beta=101.75 gamma=90.00
Space group Cm (No. 8)
Unique sites:
Li 0.000 0.000 0.000 x2
La 0.269 0.500 0.320 x2
Re 0.039 0.500 0.667 x2
Re 0.263 0.000 0.798 x2

Excess energy over the best structure of this formula in the dataset (eV/f.u.): 0.58
Formation enthalpy at 0 K (kJ/mol of formula units): 147
V (Å³/cell): 163
Theoretical density (Mg/m³): 10.586